No. 1
Ti3ZnGa4: optimized geometry, PBE.

```
Ti3ZnGa4
1.0
-3.7486 -1.8133 -3.7303
-3.6448 -0.8836 4.0922
-2.8021 7.5662 -0.8620
Ti Zn Ga
6 2 8
Cartesian
-5.2923 -1.6806 2.4520
-4.1298 0.8885 2.1308
-4.2107 0.4173 -1.7482
-4.9235 2.0793 -3.9356
-5.6116 4.1998 -2.1791
-5.5310 4.6722 1.6997
-5.3426 -2.1445 -1.4563
-4.8688 2.5453 -0.0228
-3.5222 -1.7037 -3.5047
-3.4687 -1.2382 0.4071
-2.2798 1.3369 0.0535
-6.0610 -0.0312 0.3289
-6.7447 1.6381 -1.8883
-6.6934 2.1025 2.0213
-7.4617 3.7511 -0.1021
-3.6811 5.1207 -0.3776
```

Computed properties:
Excess energy over the best structure of this formula in the dataset   0.00 kJ per mole of atoms
Space-group type   No. 53



No. 2
Sr2AlGe3Pt4: optimized geometry, PBE.

```
Sr2AlGe3Pt4
1.0
4.3721 0.0000 0.0000
0.0000 4.3721 0.0000
0.0000 0.0000 10.4900
Sr Al Ge Pt
2 1 3 4
Cartesian
2.1860 0.0000 2.6203
0.0000 2.1860 7.8697
2.1860 2.1860 5.2450
0.0000 0.0000 5.2450
2.1860 0.0000 9.1333
0.0000 2.1860 1.3567
2.1860 2.1860 0.0000
0.0000 0.0000 0.0000
2.1860 0.0000 6.5772
0.0000 2.1860 3.9128
```

Computed properties:
Space-group type   No. 115



Here are the calculated spin magnetization numbers, same order: 0.83 0.00 (μB per cell).
Here are the calculated energy relative to the elements numbers, same order: -35.9 -83.2 (kJ per mole of atoms).